First-principles (PBE-GGA) data for a relaxed structure of Al2PRh, as listed in Alexandria.

Cell: 3.071 4.873 5.104 Å, 50.38 90.00 90.00°
Atoms (fractional coordinates):
Al (0.500, 0.500, 0.000)
Al (0.000, 0.000, 0.000)
P (0.500, 0.500, 0.500)
Rh (0.000, 0.000, 0.500)

Summary:
Formation energy in eV per atom: -0.337